Compound: MgCoPb2
Source: Alexandria
Functional: PBE
Structure: relaxed

a = 3.4776 Å, b = 3.4776 Å, c = 25.9450 Å
α = 90.00°, β = 90.00°, γ = 120.00°
Space group R-3m (No. 166, hexagonal axes)
Asymmetric unit:
1 Mg 0.0000 0.0000 0.0000
2 Co 0.0000 0.0000 0.5000
3 Pb 0.0000 0.0000 0.2363

- E_tot (Ha/atom) = -0.1384
- density of states at the Fermi level (states/eV/f.u.) = 3.31
- energy relative to the elements (kJ/mol of formula units) = 101
- size of the total moment (Bohr magnetons per cell) = 1.5
- crystal system = trigonal


Compound: Mn3HOs
Source: Alexandria
Functional: PBE
Structure: relaxed

a = 4.214 Å, b = 4.535 Å, c = 5.276 Å
α = 89.61°, β = 89.82°, γ = 89.88°
Space group P1 (No. 1)
Asymmetric unit:
1 Mn 0.000 0.000 0.000
2 Mn 0.000 0.476 0.737
3 Mn 0.006 0.469 0.259
4 Mn 0.498 0.153 0.245
5 Mn 0.500 0.629 0.497
6 Mn 0.523 0.632 0.993
7 H 0.129 0.649 0.997
8 H 0.737 0.806 0.241
9 Os 0.009 0.981 0.498
10 Os 0.503 0.141 0.751

- E above lowest polymorph (meV per atom) = 58.1
- E_tot (Ha/atom) = -0.3087
- density of states at the Fermi level (states/eV/f.u.) = 4.83
- size of the total moment (Bohr magnetons per cell) = 0.1
- crystal system = triclinic


> What is the size of the total moment in the second record?

0.1 Bohr magnetons per cell